## LiMn2Mo (PBE-GGA)

Data for LiMn2Mo after structural relaxation.

Structure (POSCAR):
```
LiMn2Mo
1.0
2.4869 0.0000 0.0000
0.0000 4.1228 0.0000
-0.6573 0.0000 4.7950
Li Mn Mo
1 2 1
Direct
0.0000 0.0000 0.0000
0.2843 0.5000 0.7670
0.7157 0.5000 0.2330
0.5000 0.0000 0.5000
```

## Properties
DFT total energy, eV per atom: -7.43
Energy relative to the lowest polymorph listed for this composition, eV/atom: 0.088
Size of the total moment, μB per formula unit: 0.01
E_form, meV per atom: 341.1

***

## Li2MnMo (PBE-GGA)

Data for Li2MnMo after structural relaxation.

Structure (POSCAR):
```
Li2MnMo
1.0
2.4660 0.0000 0.0000
0.0000 4.7087 0.0000
-1.0745 0.0000 4.6575
Li Mn Mo
2 1 1
Direct
0.2110 0.0000 0.2595
0.7890 0.0000 0.7405
0.0000 0.5000 0.5000
0.5000 0.5000 0.0000
```

## Properties
DFT total energy, eV per atom: -5.56
Energy relative to the lowest polymorph listed for this composition, eV/atom: 0.128
Size of the total moment, μB per formula unit: 0.00
E_form, meV per atom: 399.6

***

## LiMn2Mo (PBE-GGA)

Data for LiMn2Mo after structural relaxation.

Structure (POSCAR):
```
LiMn2Mo
1.0
4.0821 0.0000 0.0000
0.0000 4.0821 0.0000
0.0000 0.0000 3.0936
Li Mn Mo
1 2 1
Direct
0.0000 0.0000 0.0000
0.0000 0.5000 0.5000
0.5000 0.0000 0.5000
0.5000 0.5000 0.0000
```

## Properties
DFT total energy, eV per atom: -7.49
Energy relative to the lowest polymorph listed for this composition, eV/atom: 0.031
Size of the total moment, μB per formula unit: 3.01
E_form, meV per atom: 284.3

***

## Li2MnMo (PBE-GGA)

Data for Li2MnMo after structural relaxation.

Structure (POSCAR):
```
Li2MnMo
1.0
4.3145 -1.2161 0.0000
4.3145 1.2161 0.0000
-0.1247 0.0000 5.3281
Li Mn Mo
2 1 1
Direct
0.0000 0.0000 0.0000
0.2497 0.2497 0.7782
0.5065 0.5065 0.4854
0.7484 0.7484 0.3039
```

## Properties
DFT total energy, eV per atom: -5.55
Energy relative to the lowest polymorph listed for this composition, eV/atom: 0.139
Size of the total moment, μB per formula unit: 0.00
E_form, meV per atom: 410.0

***

## Li2MnMo (PBE-GGA)

Data for Li2MnMo after structural relaxation.

Structure (POSCAR):
```
Li2MnMo
1.0
4.6895 0.0000 0.0000
0.0000 4.6895 0.0000
0.0000 0.0000 2.5879
Li Mn Mo
2 1 1
Direct
0.0000 0.5000 0.0000
0.5000 0.0000 0.0000
0.0000 0.0000 0.5000
0.5000 0.5000 0.5000
```

## Properties
DFT total energy, eV per atom: -5.26
Energy relative to the lowest polymorph listed for this composition, eV/atom: 0.421
Size of the total moment, μB per formula unit: 3.16
E_form, meV per atom: 692.7

***

## LiMn2Mo (PBE-GGA)

Data for LiMn2Mo after structural relaxation.

Structure (POSCAR):
```
LiMn2Mo
1.0
-1.4198 2.0903 4.2568
1.4198 -2.0903 4.2568
1.4198 2.0903 -4.2568
Li Mn Mo
1 2 1
Direct
0.0000 0.0000 0.0000
0.2526 0.7526 0.5000
0.4752 0.4752 0.0000
0.7297 0.2297 0.5000
```

## Properties
DFT total energy, eV per atom: -7.47
Energy relative to the lowest polymorph listed for this composition, eV/atom: 0.046
Size of the total moment, μB per formula unit: 1.08
E_form, meV per atom: 298.5

***

## LiMnMo (PBE-GGA)

Data for LiMnMo after structural relaxation.

Structure (POSCAR):
```
LiMnMo
1.0
-1.2332 2.1214 3.7220
1.2332 -2.1214 3.7220
1.2332 2.1214 -3.7220
Li Mn Mo
1 1 1
Direct
0.0000 0.0000 0.0000
0.6615 0.6615 0.0000
0.3371 0.3371 0.0000
```

## Properties
DFT total energy, eV per atom: -6.92
Energy relative to the lowest polymorph listed for this composition, eV/atom: 0.073
Size of the total moment, μB per formula unit: 0.00
E_form, meV per atom: 386.2

***

## Li2MnMo (PBE-GGA)

Data for Li2MnMo after structural relaxation.

Structure (POSCAR):
```
Li2MnMo
1.0
0.0000 2.8973 2.8973
2.8973 0.0000 2.8973
2.8973 2.8973 0.0000
Li Mn Mo
2 1 1
Direct
0.2500 0.2500 0.2500
0.7500 0.7500 0.7500
0.0000 0.0000 0.0000
0.5000 0.5000 0.5000
```

## Properties
DFT total energy, eV per atom: -5.00
Energy relative to the lowest polymorph listed for this composition, eV/atom: 0.683
Size of the total moment, μB per formula unit: 0.00
E_form, meV per atom: 954.0

***

## LiMn2Mo2 (PBE-GGA)

Data for LiMn2Mo2 after structural relaxation.

Structure (POSCAR):
```
LiMn2Mo2
1.0
7.0904 0.0000 0.0000
0.0000 7.0904 0.0000
0.0000 0.0000 2.8255
Li Mn Mo
2 4 4
Direct
0.0000 0.0000 0.0000
0.5000 0.5000 0.0000
0.1416 0.3584 0.0000
0.3584 0.8584 0.0000
0.6416 0.1416 0.0000
0.8584 0.6416 0.0000
0.1566 0.6566 0.5000
0.3434 0.1566 0.5000
0.6566 0.8434 0.5000
0.8434 0.3434 0.5000
```

## Properties
DFT total energy, eV per atom: -8.06
Energy relative to the lowest polymorph listed for this composition, eV/atom: 0.000
Size of the total moment, μB per formula unit: 0.83
E_form, meV per atom: 319.0

***

## Li2MnMo (PBE-GGA)

Data for Li2MnMo after structural relaxation.

Structure (POSCAR):
```
Li2MnMo
1.0
2.4789 0.0000 0.0000
0.0000 4.1326 0.0000
-0.7621 0.0000 5.4858
Li Mn Mo
2 1 1
Direct
0.0000 0.0000 0.0000
0.2179 0.5000 0.7700
0.7486 0.5000 0.2859
0.5223 0.0000 0.4687
```

## Properties
DFT total energy, eV per atom: -5.61
Energy relative to the lowest polymorph listed for this composition, eV/atom: 0.077
Size of the total moment, μB per formula unit: 0.00
E_form, meV per atom: 348.2

***

## LiMn2Mo (PBE-GGA)

Data for LiMn2Mo after structural relaxation.

Structure (POSCAR):
```
LiMn2Mo
1.0
-3.2815 3.2815 2.6126
3.2815 -3.2815 2.6126
3.2815 3.2815 -2.6126
Li Mn Mo
2 4 2
Direct
0.0000 0.0000 0.0000
0.7500 0.2500 0.5000
0.1270 0.6250 0.0020
0.3750 0.3770 0.5020
0.6230 0.1250 0.9980
0.8750 0.8730 0.4980
0.2500 0.7500 0.5000
0.5000 0.5000 0.0000
```

## Properties
DFT total energy, eV per atom: -7.07
Energy relative to the lowest polymorph listed for this composition, eV/atom: 0.449
Size of the total moment, μB per formula unit: 3.66
E_form, meV per atom: 701.8

***

## LiMn2Mo (PBE-GGA)

Data for LiMn2Mo after structural relaxation.

Structure (POSCAR):
```
LiMn2Mo
1.0
2.5872 0.0000 0.0000
0.0000 3.9135 0.0000
0.0000 0.0000 5.1006
Li Mn Mo
1 2 1
Direct
0.0000 0.0000 0.0000
0.0000 0.0000 0.4781
0.5000 0.5000 0.2422
0.5000 0.5000 0.7408
```

## Properties
DFT total energy, eV per atom: -7.41
Energy relative to the lowest polymorph listed for this composition, eV/atom: 0.108
Size of the total moment, μB per formula unit: 0.34
E_form, meV per atom: 360.5

***

## LiMn2Mo (PBE-GGA)

Data for LiMn2Mo after structural relaxation.

Structure (POSCAR):
```
LiMn2Mo
1.0
1.5882 -2.0494 0.0000
1.5882 2.0494 0.0000
0.0000 0.0000 8.5333
Li Mn Mo
1 2 1
Direct
0.0000 0.0000 0.0000
0.0000 0.0000 0.5282
0.5000 0.5000 0.7345
0.5000 0.5000 0.2835
```

## Properties
DFT total energy, eV per atom: -7.48
Energy relative to the lowest polymorph listed for this composition, eV/atom: 0.034
Size of the total moment, μB per formula unit: 0.66
E_form, meV per atom: 287.2

***

## Li2MnMo (PBE-GGA)

Data for Li2MnMo after structural relaxation.

Structure (POSCAR):
```
Li2MnMo
1.0
3.0786 0.0000 0.0000
0.0000 3.0786 0.0000
0.0000 0.0000 6.5817
Li Mn Mo
2 1 1
Direct
0.0000 0.0000 0.0000
0.5000 0.5000 0.2777
0.0000 0.0000 0.5492
0.5000 0.5000 0.7149
```

## Properties
DFT total energy, eV per atom: -5.62
Energy relative to the lowest polymorph listed for this composition, eV/atom: 0.064
Size of the total moment, μB per formula unit: 1.66
E_form, meV per atom: 335.2

***

## LiMn3Mo (PBE-GGA)

Data for LiMn3Mo after structural relaxation.

Structure (POSCAR):
```
LiMn3Mo
1.0
4.0129 0.0000 0.0000
0.0000 4.0129 0.0000
0.0000 0.0000 4.0129
Li Mn Mo
1 3 1
Direct
0.0000 0.0000 0.0000
0.0000 0.0000 0.5000
0.0000 0.5000 0.0000
0.5000 0.0000 0.0000
0.5000 0.5000 0.5000
```

## Properties
DFT total energy, eV per atom: -6.99
Energy relative to the lowest polymorph listed for this composition, eV/atom: 0.000
Size of the total moment, μB per formula unit: 5.98
E_form, meV per atom: 1062.5